1.
Below is CsNb3Co at its PBEsol-relaxed geometry, with properties calculated at the meta-GGA SCAN level.

Cell lengths 4.743, 4.743, 4.743 Å; angles 90.00, 90.00, 90.00 degrees
Sites, in units of the cell vectors:
Cs: 0.000 0.000 0.000
Nb: 0.000 0.500 0.500
Nb: 0.500 0.000 0.500
Nb: 0.500 0.500 0.000
Co: 0.500 0.500 0.500

Computed properties:
Symmetry: Pm-3m
Energy of formation from the pure elements (meV/atom): 1417
Total magnetic moment (μB/cell): 0.000
Total DFT energy (no corrections) (eV/cell): -147.4


2.
Below is Bi2Mo2Se2O13 at its PBEsol-relaxed geometry, with properties calculated at the meta-GGA SCAN level.

Cell lengths 6.536, 6.877, 11.647 Å; angles 89.95, 82.54, 86.59 degrees
Sites, in units of the cell vectors:
Bi: 0.133 0.109 0.145
Bi: 0.295 0.629 0.612
Bi: 0.705 0.371 0.388
Bi: 0.867 0.891 0.855
Mo: 0.246 0.607 0.311
Mo: 0.380 0.147 0.802
Mo: 0.620 0.853 0.198
Mo: 0.754 0.393 0.689
Se: 0.262 0.085 0.439
Se: 0.325 0.708 0.932
Se: 0.675 0.292 0.068
Se: 0.738 0.915 0.561
O: 0.017 0.404 0.647
O: 0.091 0.156 0.345
O: 0.126 0.844 0.009
O: 0.144 0.058 0.780
O: 0.192 0.664 0.818
O: 0.234 0.833 0.449
O: 0.296 0.439 0.199
O: 0.299 0.834 0.217
O: 0.320 0.270 0.932
O: 0.344 0.457 0.433
O: 0.419 0.340 0.696
O: 0.481 0.901 0.880
O: 0.495 0.921 0.644
O: 0.505 0.079 0.356
O: 0.519 0.099 0.120
O: 0.581 0.660 0.304
O: 0.656 0.543 0.567
O: 0.680 0.730 0.068
O: 0.701 0.166 0.783
O: 0.704 0.561 0.801
O: 0.766 0.167 0.551
O: 0.808 0.336 0.182
O: 0.856 0.942 0.220
O: 0.874 0.156 0.991
O: 0.909 0.844 0.655
O: 0.983 0.596 0.353

Computed properties:
Symmetry: P-1
Total magnetic moment (μB/cell): 0.000
ΔE_f (raw) (eV/atom): -1.52
Total DFT energy (no corrections) (eV/cell): -753.8